# 1
First-principles (PBE) data for a relaxed Re2AgAu crystal, as listed in the Alexandria database.

## Properties
As for the total moment: 0.000 μB/f.u. As for the final energy: -30.20 eV for the cell shown. As for the density of states at the Fermi level: 1.71 states/eV per cell. Its energy of formation from the pure elements is 0.206 eV per atom. The value obtained for the energy relative to the lowest polymorph listed for this composition is 0.0 meV/atom.

a b c (Å): 9.740 9.740 9.740
angles (deg): 16.57 16.57 16.57
Fractional coordinates of all 4 atoms:
Re (0.000, 0.000, 0.000)
Re (0.262, 0.262, 0.262)
Ag (0.508, 0.508, 0.508)
Au (0.753, 0.753, 0.753)

=====

# 2
First-principles (PBE) data for a relaxed Re2AgAu crystal, as listed in the Alexandria database.

## Properties
As for the total moment: 0.000 μB/f.u. As for the final energy: -28.52 eV for the cell shown. As for the density of states at the Fermi level: 2.86 states/eV per cell. Its energy of formation from the pure elements is 0.626 eV per atom. The value obtained for the energy relative to the lowest polymorph listed for this composition is 420.2 meV/atom.

a b c (Å): 5.913 5.913 5.913
angles (deg): 152.80 134.11 54.16
Fractional coordinates of all 4 atoms:
Re (0.225, 0.225, 0.000)
Re (0.775, 0.775, 0.000)
Ag (0.500, 0.000, 0.500)
Au (0.000, 0.500, 0.500)

=====

# 3
First-principles (PBE) data for a relaxed ReSiAg2Au crystal, as listed in the Alexandria database.

## Properties
As for the total moment: 0.004 μB/f.u. As for the final energy: -22.40 eV for the cell shown. As for the density of states at the Fermi level: 2.92 states/eV per cell.

a b c (Å): 4.624 4.624 4.556
angles (deg): 90.00 90.00 90.00
Fractional coordinates of all 5 atoms:
Re (0.000, 0.000, 0.000)
Si (0.000, 0.000, 0.500)
Ag (0.000, 0.500, 0.500)
Ag (0.500, 0.000, 0.500)
Au (0.500, 0.500, 0.000)

=====

# 4
First-principles (PBE) data for a relaxed TlRe2AgAu crystal, as listed in the Alexandria database.

## Properties
As for the total moment: 6.205 μB/f.u. As for the final energy: -21.11 eV for the cell shown. As for the density of states at the Fermi level: 4.71 states/eV per cell. Its energy of formation from the pure elements is 2.457 eV per atom.

a b c (Å): 5.007 5.007 5.096
angles (deg): 90.00 90.00 90.00
Fractional coordinates of all 5 atoms:
Tl (0.000, 0.000, 0.000)
Re (0.000, 0.500, 0.500)
Re (0.500, 0.000, 0.500)
Ag (0.000, 0.000, 0.500)
Au (0.500, 0.500, 0.000)

=====

# 5
First-principles (PBE) data for a relaxed AgRh2Au crystal, as listed in the Alexandria database.

## Properties
As for the total moment: 0.000 μB/f.u. As for the final energy: -19.93 eV for the cell shown. As for the density of states at the Fermi level: 4.92 states/eV per cell. Its energy of formation from the pure elements is 0.224 eV per atom. The value obtained for the energy relative to the lowest polymorph listed for this composition is 115.8 meV/atom.

a b c (Å): 2.777 2.777 9.713
angles (deg): 90.00 90.00 119.69
Fractional coordinates of all 4 atoms:
Ag (0.000, 0.000, 0.000)
Rh (0.000, 0.000, 0.521)
Rh (0.500, 0.500, 0.748)
Au (0.500, 0.500, 0.265)

=====

# 6
First-principles (PBE) data for a relaxed AgRh2Au crystal, as listed in the Alexandria database.

## Properties
As for the total moment: 1.018 μB/f.u. As for the final energy: -19.71 eV for the cell shown. As for the density of states at the Fermi level: 5.60 states/eV per cell. Its energy of formation from the pure elements is 0.280 eV per atom. The value obtained for the energy relative to the lowest polymorph listed for this composition is 171.2 meV/atom.

a b c (Å): 2.826 4.746 4.831
angles (deg): 90.00 90.00 90.00
Fractional coordinates of all 4 atoms:
Ag (0.000, 0.000, 0.000)
Rh (0.000, 0.500, 0.500)
Rh (0.500, 0.000, 0.500)
Au (0.500, 0.500, 0.000)

=====

# 7
First-principles (PBE) data for a relaxed AgRhAu4 crystal, as listed in the Alexandria database.

## Properties
As for the total moment: 0.004 μB/f.u. As for the final energy: -21.38 eV for the cell shown. As for the density of states at the Fermi level: 3.86 states/eV per cell. Its energy of formation from the pure elements is 0.322 eV per atom.

a b c (Å): 5.427 5.427 5.427
angles (deg): 60.00 60.00 60.00
Fractional coordinates of all 6 atoms:
Ag (0.000, 0.000, 0.000)
Rh (0.750, 0.750, 0.750)
Au (0.375, 0.375, 0.375)
Au (0.375, 0.375, 0.875)
Au (0.375, 0.875, 0.375)
Au (0.875, 0.375, 0.375)

=====

# 8
First-principles (PBE) data for a relaxed AgRh2Au crystal, as listed in the Alexandria database.

## Properties
As for the total moment: 0.005 μB/f.u. As for the final energy: -19.74 eV for the cell shown. As for the density of states at the Fermi level: 6.36 states/eV per cell. Its energy of formation from the pure elements is 0.273 eV per atom. The value obtained for the energy relative to the lowest polymorph listed for this composition is 164.7 meV/atom.

a b c (Å): 5.511 5.511 5.511
angles (deg): 149.91 128.72 60.61
Fractional coordinates of all 4 atoms:
Ag (0.000, 0.000, 0.000)
Rh (0.258, 0.758, 0.500)
Rh (0.483, 0.483, 0.000)
Au (0.737, 0.237, 0.500)